Record 1
! InRe3Au (PBEsol, optimized geometry); values from VASP
&SYSTEM
  ibrav = 0, nat = 5, ntyp = 3
/
ATOMIC_SPECIES
Re 186.21 Re.upf
Au 196.97 Au.upf
In 114.82 In.upf
ATOMIC_POSITIONS crystal
Re 0.000 0.500 0.000
Re 0.000 0.000 0.500
Re 0.500 0.000 0.000
Au 0.500 0.500 0.500
In 0.000 0.000 0.000
CELL_PARAMETERS angstrom
4.721 0.000 0.000
0.000 4.721 0.000
0.000 0.000 4.721
! Formation energy in eV per formula unit: 16.12
! Total DFT energy (no corrections) in eV per atom: -6.16

Record 2
! InReAu2 (PBEsol, optimized geometry); values from VASP
&SYSTEM
  ibrav = 0, nat = 4, ntyp = 3
/
ATOMIC_SPECIES
Au 196.97 Au.upf
In 114.82 In.upf
Re 186.21 Re.upf
ATOMIC_POSITIONS crystal
Au 0.257 0.263 0.514
Au 0.743 0.737 0.486
In 0.500 0.000 0.000
Re 0.000 0.500 0.000
CELL_PARAMETERS angstrom
2.813 0.000 0.000
0.000 5.098 0.016
-1.407 -0.953 4.760
! Formation energy in eV per formula unit: 1.62
! Total DFT energy (no corrections) in eV per atom: -5.64

Record 3
! InReAu (PBEsol, optimized geometry); values from VASP
&SYSTEM
  ibrav = 0, nat = 3, ntyp = 3
/
ATOMIC_SPECIES
Au 196.97 Au.upf
In 114.82 In.upf
Re 186.21 Re.upf
ATOMIC_POSITIONS crystal
Au 0.500 0.500 0.500
In 0.250 0.250 0.250
Re 0.000 0.000 0.000
CELL_PARAMETERS angstrom
4.397 0.000 0.000
2.199 3.808 0.000
2.199 1.269 3.590
! Formation energy in eV per formula unit: 3.61
! Total DFT energy (no corrections) in eV per atom: -5.54

Record 4
! InReAu2 (PBEsol, optimized geometry); values from VASP
&SYSTEM
  ibrav = 0, nat = 4, ntyp = 3
/
ATOMIC_SPECIES
Au 196.97 Au.upf
In 114.82 In.upf
Re 186.21 Re.upf
ATOMIC_POSITIONS crystal
Au 0.000 0.500 0.000
Au 0.500 0.000 0.000
In 0.500 0.500 0.500
Re 0.000 0.000 0.500
CELL_PARAMETERS angstrom
-2.524 -0.897 3.044
3.173 -0.626 2.446
-0.072 3.961 1.107
! Formation energy in eV per formula unit: 1.60
! Total DFT energy (no corrections) in eV per atom: -5.64